No. 1
# In2SiPb

A relaxed structure of In2SiPb (GGA-PBE, Alexandria via LeMat-Bulk).

```
data_In2SiPb
_symmetry_space_group_name_H-M 'I -4 2 d'
_symmetry_Int_Tables_number 122
_symmetry_space_group_name_Hall 'I -4 2bw'
_cell_length_a 6.7700
_cell_length_b 6.7700
_cell_length_c 11.6092
_cell_angle_alpha 90.00
_cell_angle_beta 90.00
_cell_angle_gamma 90.00
loop_
_atom_site_label
_atom_site_fract_x
_atom_site_fract_y
_atom_site_fract_z
_atom_site_occupancy
In1 0.1993 0.2500 0.1250 1
Si1 0.0000 0.0000 0.0000 1
Pb1 0.0000 0.0000 0.5000 1
```

- E_tot (eV per atom) = -3.291
- total magnetic moment (μB per formula unit) = 0.00
- distance to the lowest polymorph of the same formula (eV per atom) = 0.126
- volume (Å³ per atom) = 33.25
- calculated density (g/cm³) = 5.804



No. 2
# In2SiPb

A relaxed structure of In2SiPb (GGA-PBE, Alexandria via LeMat-Bulk).

```
data_In2SiPb
_symmetry_space_group_name_H-M 'C 1 2/m 1'
_symmetry_Int_Tables_number 12
_symmetry_space_group_name_Hall '-C 2y'
_cell_length_a 6.2661
_cell_length_b 10.4254
_cell_length_c 3.3662
_cell_angle_alpha 90.00
_cell_angle_beta 111.53
_cell_angle_gamma 90.00
loop_
_atom_site_label
_atom_site_fract_x
_atom_site_fract_y
_atom_site_fract_z
_atom_site_occupancy
In1 0.2500 0.2500 0.0000 1
Si1 0.0000 0.0000 0.5000 1
Pb1 0.0000 0.5000 0.5000 1
```

- E_tot (eV per atom) = -3.313
- total magnetic moment (μB per formula unit) = 0.00
- distance to the lowest polymorph of the same formula (eV per atom) = 0.104
- volume (Å³ per atom) = 25.57
- calculated density (g/cm³) = 7.548



No. 3
# InSi2Pb

A relaxed structure of InSi2Pb (GGA-PBE, Alexandria via LeMat-Bulk).

```
data_InSi2Pb
_symmetry_space_group_name_H-M 'F m -3 m'
_symmetry_Int_Tables_number 225
_symmetry_space_group_name_Hall '-F 4 2 3'
_cell_length_a 7.1191
_cell_length_b 7.1191
_cell_length_c 7.1191
_cell_angle_alpha 90.00
_cell_angle_beta 90.00
_cell_angle_gamma 90.00
loop_
_atom_site_label
_atom_site_fract_x
_atom_site_fract_y
_atom_site_fract_z
_atom_site_occupancy
In1 0.0000 0.0000 0.0000 1
Si1 0.2500 0.2500 0.2500 1
Pb1 0.0000 0.0000 0.5000 1
```

- E_tot (eV per atom) = -3.768
- total magnetic moment (μB per formula unit) = 0.00
- distance to the lowest polymorph of the same formula (eV per atom) = 0.364
- volume (Å³ per atom) = 22.55
- calculated density (g/cm³) = 6.962



No. 4
# In2SiPb

A relaxed structure of In2SiPb (GGA-PBE, Alexandria via LeMat-Bulk).

```
data_In2SiPb
_symmetry_space_group_name_H-M 'F m -3 m'
_symmetry_Int_Tables_number 225
_symmetry_space_group_name_Hall '-F 4 2 3'
_cell_length_a 7.4281
_cell_length_b 7.4281
_cell_length_c 7.4281
_cell_angle_alpha 90.00
_cell_angle_beta 90.00
_cell_angle_gamma 90.00
loop_
_atom_site_label
_atom_site_fract_x
_atom_site_fract_y
_atom_site_fract_z
_atom_site_occupancy
In1 0.2500 0.2500 0.2500 1
Si1 0.0000 0.0000 0.0000 1
Pb1 0.0000 0.0000 0.5000 1
```

- E_tot (eV per atom) = -3.319
- total magnetic moment (μB per formula unit) = 0.00
- distance to the lowest polymorph of the same formula (eV per atom) = 0.099
- volume (Å³ per atom) = 25.62
- calculated density (g/cm³) = 7.534



No. 5
# InSi2Pb

A relaxed structure of InSi2Pb (GGA-PBE, Alexandria via LeMat-Bulk).

```
data_InSi2Pb
_symmetry_space_group_name_H-M 'F -4 3 m'
_symmetry_Int_Tables_number 216
_symmetry_space_group_name_Hall 'F -4 2 3'
_cell_length_a 7.1610
_cell_length_b 7.1610
_cell_length_c 7.1610
_cell_angle_alpha 90.00
_cell_angle_beta 90.00
_cell_angle_gamma 90.00
loop_
_atom_site_label
_atom_site_fract_x
_atom_site_fract_y
_atom_site_fract_z
_atom_site_occupancy
In1 0.0000 0.0000 0.0000 1
Si1 0.0000 0.0000 0.5000 1
Si2 0.2500 0.2500 0.7500 1
Pb1 0.2500 0.2500 0.2500 1
```

- E_tot (eV per atom) = -3.713
- total magnetic moment (μB per formula unit) = 0.00
- distance to the lowest polymorph of the same formula (eV per atom) = 0.419
- volume (Å³ per atom) = 22.95
- calculated density (g/cm³) = 6.841



No. 6
# In2SiPb

A relaxed structure of In2SiPb (GGA-PBE, Alexandria via LeMat-Bulk).

```
data_In2SiPb
_symmetry_space_group_name_H-M 'P 1 2/m 1'
_symmetry_Int_Tables_number 10
_symmetry_space_group_name_Hall '-P 2y'
_cell_length_a 3.3751
_cell_length_b 4.6915
_cell_length_c 6.5948
_cell_angle_alpha 90.00
_cell_angle_beta 101.89
_cell_angle_gamma 90.00
loop_
_atom_site_label
_atom_site_fract_x
_atom_site_fract_y
_atom_site_fract_z
_atom_site_occupancy
In1 0.0981 0.0000 0.2770 1
Si1 0.5000 0.5000 0.5000 1
Pb1 0.5000 0.5000 0.0000 1
```

- E_tot (eV per atom) = -3.372
- total magnetic moment (μB per formula unit) = 0.00
- distance to the lowest polymorph of the same formula (eV per atom) = 0.045
- volume (Å³ per atom) = 25.55
- calculated density (g/cm³) = 7.555



No. 7
# In2SiPb

A relaxed structure of In2SiPb (GGA-PBE, Alexandria via LeMat-Bulk).

```
data_In2SiPb
_symmetry_space_group_name_H-M 'I -4 m 2'
_symmetry_Int_Tables_number 119
_symmetry_space_group_name_Hall 'I -4 -2'
_cell_length_a 4.6675
_cell_length_b 4.6675
_cell_length_c 9.4058
_cell_angle_alpha 90.00
_cell_angle_beta 90.00
_cell_angle_gamma 90.00
loop_
_atom_site_label
_atom_site_fract_x
_atom_site_fract_y
_atom_site_fract_z
_atom_site_occupancy
In1 0.0000 0.0000 0.0000 1
In2 0.0000 0.5000 0.2500 1
Si1 0.0000 0.0000 0.5000 1
Pb1 0.0000 0.5000 0.7500 1
```

- E_tot (eV per atom) = -3.338
- total magnetic moment (μB per formula unit) = 0.00
- distance to the lowest polymorph of the same formula (eV per atom) = 0.079
- volume (Å³ per atom) = 25.61
- calculated density (g/cm³) = 7.535



No. 8
# InSiPb

A relaxed structure of InSiPb (GGA-PBE, Alexandria via LeMat-Bulk).

```
data_InSiPb
_symmetry_space_group_name_H-M 'P 3 m 1'
_symmetry_Int_Tables_number 156
_symmetry_space_group_name_Hall 'P 3 -2"'
_cell_length_a 4.2457
_cell_length_b 4.2457
_cell_length_c 5.1344
_cell_angle_alpha 90.00
_cell_angle_beta 90.00
_cell_angle_gamma 120.00
loop_
_atom_site_label
_atom_site_fract_x
_atom_site_fract_y
_atom_site_fract_z
_atom_site_occupancy
In1 0.0000 0.0000 0.0000 1
Si1 0.6667 0.3333 0.2409 1
Pb1 0.3333 0.6667 0.5507 1
```

- E_tot (eV per atom) = -3.674
- total magnetic moment (μB per formula unit) = 0.00
- distance to the lowest polymorph of the same formula (eV per atom) = 0.000
- volume (Å³ per atom) = 26.72
- calculated density (g/cm³) = 7.253



No. 9
# In2SiPb

A relaxed structure of In2SiPb (GGA-PBE, Alexandria via LeMat-Bulk).

```
data_In2SiPb
_symmetry_space_group_name_H-M 'P m m m'
_symmetry_Int_Tables_number 47
_symmetry_space_group_name_Hall '-P 2 2'
_cell_length_a 4.6487
_cell_length_b 4.6661
_cell_length_c 4.7406
_cell_angle_alpha 90.00
_cell_angle_beta 90.00
_cell_angle_gamma 90.00
loop_
_atom_site_label
_atom_site_fract_x
_atom_site_fract_y
_atom_site_fract_z
_atom_site_occupancy
In1 0.0000 0.0000 0.0000 1
In2 0.5000 0.5000 0.0000 1
Si1 0.0000 0.5000 0.5000 1
Pb1 0.5000 0.0000 0.5000 1
```

- E_tot (eV per atom) = -3.342
- total magnetic moment (μB per formula unit) = 0.00
- distance to the lowest polymorph of the same formula (eV per atom) = 0.076
- volume (Å³ per atom) = 25.71
- calculated density (g/cm³) = 7.508



No. 10
# InSi2Pb

A relaxed structure of InSi2Pb (GGA-PBE, Alexandria via LeMat-Bulk).

```
data_InSi2Pb
_symmetry_space_group_name_H-M 'I -4 m 2'
_symmetry_Int_Tables_number 119
_symmetry_space_group_name_Hall 'I -4 -2'
_cell_length_a 4.3187
_cell_length_b 4.3187
_cell_length_c 9.8238
_cell_angle_alpha 90.00
_cell_angle_beta 90.00
_cell_angle_gamma 90.00
loop_
_atom_site_label
_atom_site_fract_x
_atom_site_fract_y
_atom_site_fract_z
_atom_site_occupancy
In1 0.0000 0.0000 0.0000 1
Si1 0.0000 0.0000 0.5000 1
Si2 0.0000 0.5000 0.2500 1
Pb1 0.0000 0.5000 0.7500 1
```

- E_tot (eV per atom) = -3.765
- total magnetic moment (μB per formula unit) = 0.00
- distance to the lowest polymorph of the same formula (eV per atom) = 0.368
- volume (Å³ per atom) = 22.90
- calculated density (g/cm³) = 6.855



No. 11
# InSi2Pb

A relaxed structure of InSi2Pb (GGA-PBE, Alexandria via LeMat-Bulk).

```
data_InSi2Pb
_symmetry_space_group_name_H-M 'C 1 2/m 1'
_symmetry_Int_Tables_number 12
_symmetry_space_group_name_Hall '-C 2y'
_cell_length_a 6.7706
_cell_length_b 7.8120
_cell_length_c 3.4211
_cell_angle_alpha 90.00
_cell_angle_beta 90.97
_cell_angle_gamma 90.00
loop_
_atom_site_label
_atom_site_fract_x
_atom_site_fract_y
_atom_site_fract_z
_atom_site_occupancy
In1 0.0000 0.0000 0.0000 1
Si1 0.2500 0.2500 0.5000 1
Pb1 0.0000 0.5000 0.0000 1
```

- E_tot (eV per atom) = -3.779
- total magnetic moment (μB per formula unit) = 0.00
- distance to the lowest polymorph of the same formula (eV per atom) = 0.353
- volume (Å³ per atom) = 22.62
- calculated density (g/cm³) = 6.942



No. 12
# InSi2Pb

A relaxed structure of InSi2Pb (GGA-PBE, Alexandria via LeMat-Bulk).

```
data_InSi2Pb
_symmetry_space_group_name_H-M 'P 1 m 1'
_symmetry_Int_Tables_number 6
_symmetry_space_group_name_Hall 'P -2y'
_cell_length_a 5.2290
_cell_length_b 3.7649
_cell_length_c 5.2432
_cell_angle_alpha 90.00
_cell_angle_beta 114.40
_cell_angle_gamma 90.00
loop_
_atom_site_label
_atom_site_fract_x
_atom_site_fract_y
_atom_site_fract_z
_atom_site_occupancy
In1 0.0000 0.0000 0.0000 1
Si1 0.5783 0.0000 0.4230 1
Si2 0.7439 0.5000 0.2514 1
Pb1 0.3086 0.5000 0.6877 1
```

- E_tot (eV per atom) = -4.032
- total magnetic moment (μB per formula unit) = 0.00
- distance to the lowest polymorph of the same formula (eV per atom) = 0.101
- volume (Å³ per atom) = 23.50
- calculated density (g/cm³) = 6.681



no.,ΔE_f (raw) (eV per atom)
1,0.36
2,0.34
3,0.55
4,0.33
5,0.61
6,0.28
7,0.31
8,0.28
9,0.31
10,0.56
11,0.54
12,0.29